No. 1
The following is a DFT calculation (PBE-GGA) of an optimized crystal structure of Pr5Y2Er.

Structure (POSCAR):
```
Pr5Y2Er
1.0
7.2942 0.0000 0.0000
0.0000 14.6029 0.0000
0.0000 0.0000 5.1732
Pr Y Er
10 4 2
Cartesian
0.0000 0.0000 0.0000
0.0193 3.6808 0.0000
1.7987 9.1044 2.5866
1.8484 1.8029 2.5866
3.6278 10.9822 0.0000
3.6471 7.3015 0.0000
3.6664 3.6207 0.0000
5.4458 12.8000 2.5866
5.4955 5.4985 2.5866
7.2749 10.9222 0.0000
1.8141 12.7971 2.5866
1.8330 5.4956 2.5866
5.4612 9.1073 2.5866
5.4802 1.8059 2.5866
0.0000 7.3015 0.0000
3.6471 0.0000 0.0000
```

Output
The space-group type is No. 55. For the formation enthalpy at 0 K, the calculation gives 12 kJ/mol of formula units.

No. 2
The following is a DFT calculation (PBE-GGA) of an optimized crystal structure of SrCaFe2As.

Structure (POSCAR):
```
SrCaFe2As
1.0
5.0645 0.0000 0.0000
0.0000 5.0645 0.0000
0.0000 0.0000 5.6802
Sr Ca Fe As
1 1 2 1
Cartesian
0.0000 0.0000 0.0000
2.5323 2.5323 2.8401
0.0000 2.5323 0.0000
2.5323 0.0000 0.0000
0.0000 0.0000 2.8401
```

Output
The space-group type is No. 123. For the formation enthalpy at 0 K, the calculation gives 586 kJ/mol of formula units.

No. 3
The following is a DFT calculation (PBE-GGA) of an optimized crystal structure of Al2NiP6.

Structure (POSCAR):
```
Al2NiP6
1.0
7.0966 0.0000 0.0000
-3.5483 6.1458 0.0000
0.0000 0.0000 3.1399
Al Ni P
2 1 6
Cartesian
0.0000 4.0972 0.0000
3.5483 2.0486 0.0000
0.0000 0.0000 1.5700
-0.9226 1.5980 0.0000
-1.7955 3.1098 1.5700
1.8452 0.0000 0.0000
1.7528 3.0360 1.5700
3.5909 0.0000 1.5700
2.6257 4.5478 0.0000
```

Output
The space-group type is No. 189. For the formation enthalpy at 0 K, the calculation gives 126 kJ/mol of formula units.

No. 4
The following is a DFT calculation (PBE-GGA) of an optimized crystal structure of GaSnP.

Structure (POSCAR):
```
GaSnP
1.0
4.0561 0.0000 0.0000
1.8835 5.9624 0.0000
0.0742 1.4062 6.5393
Ga Sn P
2 2 2
Cartesian
0.0000 0.0000 0.0000
2.0659 0.9203 3.2207
1.6073 3.5560 3.4795
3.6277 3.8568 5.4638
1.9069 5.8610 2.3658
3.9739 6.4125 5.6145
```

Output
The space-group type is No. 1. For the formation enthalpy at 0 K, the calculation gives -22 kJ/mol of formula units.

No. 5
The following is a DFT calculation (PBE-GGA) of an optimized crystal structure of NdScAlRh.

Structure (POSCAR):
```
NdScAlRh
1.0
0.0000 3.4930 3.4930
3.4930 0.0000 3.4930
3.4930 3.4930 0.0000
Nd Sc Al Rh
1 1 1 1
Cartesian
0.0000 0.0000 0.0000
3.4930 3.4930 3.4930
1.7465 1.7465 1.7465
5.2396 5.2396 5.2396
```

Output
The space-group type is No. 216. For the formation enthalpy at 0 K, the calculation gives -182 kJ/mol of formula units.

No. 6
The following is a DFT calculation (PBE-GGA) of an optimized crystal structure of Ca2AcB2O6.

Structure (POSCAR):
```
Ca2AcB2O6
1.0
5.3546 0.0000 0.0000
-2.6773 4.6372 0.0000
0.0000 0.0000 6.9010
Ca Ac B O
2 1 2 6
Cartesian
0.0000 3.0915 2.4023
2.6773 1.5457 4.4987
0.0000 0.0000 0.0000
0.0000 3.0915 5.1812
2.6773 1.5457 1.7198
-1.3681 3.3328 5.0859
0.4750 1.7860 5.0859
1.7843 0.4816 1.8151
0.8930 4.1556 5.0859
2.2022 2.8512 1.8151
4.0453 1.3044 1.8151
```

Output
The space-group type is No. 147. For the uncorrected formation energy, the calculation gives -2659 meV/atom.